(1)
# La4Ho4Er

A geometry-optimized La4Ho4Er structure (PBE, Alexandria via LeMat-Bulk).

Geometry as CIF:
```
data_La4Ho4Er
_chemical_formula_sum 'La8 Ho8 Er2'
_symmetry_space_group_name_H-M 'I 4/m m m'
_symmetry_Int_Tables_number 139
_symmetry_space_group_name_Hall '-I 4 2'
_cell_length_a 10.8450
_cell_length_b 10.8450
_cell_length_c 5.1317
_cell_angle_alpha 90.00
_cell_angle_beta 90.00
_cell_angle_gamma 90.00
loop_
_atom_site_label
_atom_site_type_symbol
_atom_site_fract_x
_atom_site_fract_y
_atom_site_fract_z
La1 La 0.1668 0.1668 0.0000
Ho1 Ho 0.0000 0.3362 0.5000
Er1 Er 0.0000 0.0000 0.5000
```

Calculated values
- Uncorrected energy: -4.7014 eV/atom
- Volume: 603.6 Å³/cell
- Calculated formation energy: 0.030 eV/atom
- Polymorph energy (0 for the lowest one): 0.0 meV/atom

***

(2)
# PuGa4Hg

A geometry-optimized PuGa4Hg structure (PBE, Alexandria via LeMat-Bulk).

Geometry as CIF:
```
data_PuGa4Hg
_chemical_formula_sum 'Pu4 Ga16 Hg4'
_symmetry_space_group_name_H-M 'F -4 3 m'
_symmetry_Int_Tables_number 216
_symmetry_space_group_name_Hall 'F -4 2 3'
_cell_length_a 7.9072
_cell_length_b 7.9072
_cell_length_c 7.9072
_cell_angle_alpha 90.00
_cell_angle_beta 90.00
_cell_angle_gamma 90.00
loop_
_atom_site_label
_atom_site_type_symbol
_atom_site_fract_x
_atom_site_fract_y
_atom_site_fract_z
Pu1 Pu 0.0000 0.0000 0.0000
Ga1 Ga 0.1256 0.1256 0.6256
Hg1 Hg 0.2500 0.2500 0.2500
```

Calculated values
- Uncorrected energy: -4.5652 eV/atom
- Volume: 494.4 Å³/cell
- Calculated formation energy: -0.108 eV/atom

***

(3)
# TeH2S8

A geometry-optimized TeH2S8 structure (PBE, Alexandria via LeMat-Bulk).

Geometry as CIF:
```
data_TeH2S8
_chemical_formula_sum 'Te1 H2 S8'
_symmetry_space_group_name_H-M 'P -1'
_symmetry_Int_Tables_number 2
_cell_length_a 4.0630
_cell_length_b 8.8136
_cell_length_c 10.2653
_cell_angle_alpha 91.13
_cell_angle_beta 98.44
_cell_angle_gamma 94.26
loop_
_symmetry_equiv_pos_as_xyz
'x,y,z'
'-x,-y,-z'
loop_
_atom_site_label
_atom_site_type_symbol
_atom_site_fract_x
_atom_site_fract_y
_atom_site_fract_z
Te1 Te 0.0000 0.0000 0.0000
H1 H 0.1403 0.6468 0.4818
S1 S 0.2241 0.7728 0.7160
S2 S 0.2924 0.0045 0.6741
S3 S 0.4229 0.6623 0.5717
S4 S 0.4615 0.1163 0.8516
```

Calculated values
- Uncorrected energy: -3.8325 eV/atom
- Volume: 362.4 Å³/cell

***

> The lowest uncorrected energy belongs to which entry?

La4Ho4Er